1.
# KInRe2 PBE relaxed
# * formation enthalpy at 0 K: 1095 meV/atom
# * E_tot: -6.09 eV/atom
data_KInRe2
_symmetry_space_group_name_H-M 'I m m 2'
_symmetry_Int_Tables_number 44
_symmetry_space_group_name_Hall 'I 2 -2'
_cell_length_a 3.089
_cell_length_b 5.503
_cell_length_c 10.950
_cell_angle_alpha 90.00
_cell_angle_beta 90.00
_cell_angle_gamma 90.00
loop_
_atom_site_label
_atom_site_type_symbol
_atom_site_fract_x
_atom_site_fract_y
_atom_site_fract_z
_atom_site_occupancy
K1 K 0.000 0.000 0.000 1
In1 In 0.000 0.500 0.800 1
Re1 Re 0.000 0.000 0.543 1
Re2 Re 0.000 0.500 0.205 1

---

2.
# K2InRe PBE relaxed
# * formation enthalpy at 0 K: 939 meV/atom
# * E_tot: -3.41 eV/atom
data_K2InRe
_symmetry_space_group_name_H-M 'C m m 2'
_symmetry_Int_Tables_number 35
_symmetry_space_group_name_Hall 'C 2 -2'
_cell_length_a 4.279
_cell_length_b 4.306
_cell_length_c 11.934
_cell_angle_alpha 90.00
_cell_angle_beta 90.00
_cell_angle_gamma 90.00
loop_
_atom_site_label
_atom_site_type_symbol
_atom_site_fract_x
_atom_site_fract_y
_atom_site_fract_z
_atom_site_occupancy
K1 K 0.000 0.000 0.000 1
K2 K 0.000 0.500 0.360 1
In1 In 0.000 0.500 0.761 1
Re1 Re 0.000 0.000 0.588 1

---

3.
# KIn2Re PBE relaxed
# * formation enthalpy at 0 K: 1169 meV/atom
# * E_tot: -3.59 eV/atom
# * distance to the lowest polymorph of the same formula: 704 meV per atom
data_KIn2Re
_symmetry_space_group_name_H-M 'F -4 3 m'
_symmetry_Int_Tables_number 216
_symmetry_space_group_name_Hall 'F -4 2 3'
_cell_length_a 7.139
_cell_length_b 7.139
_cell_length_c 7.139
_cell_angle_alpha 90.00
_cell_angle_beta 90.00
_cell_angle_gamma 90.00
loop_
_atom_site_label
_atom_site_type_symbol
_atom_site_fract_x
_atom_site_fract_y
_atom_site_fract_z
_atom_site_occupancy
K1 K 0.000 0.000 0.000 1
In1 In 0.000 0.000 0.500 1
In2 In 0.250 0.250 0.750 1
Re1 Re 0.250 0.250 0.250 1

---

4.
# KIn2Re PBE relaxed
# * formation enthalpy at 0 K: 912 meV/atom
# * E_tot: -3.84 eV/atom
# * distance to the lowest polymorph of the same formula: 447 meV per atom
data_KIn2Re
_symmetry_space_group_name_H-M 'F m -3 m'
_symmetry_Int_Tables_number 225
_symmetry_space_group_name_Hall '-F 4 2 3'
_cell_length_a 7.106
_cell_length_b 7.106
_cell_length_c 7.106
_cell_angle_alpha 90.00
_cell_angle_beta 90.00
_cell_angle_gamma 90.00
loop_
_atom_site_label
_atom_site_type_symbol
_atom_site_fract_x
_atom_site_fract_y
_atom_site_fract_z
_atom_site_occupancy
K1 K 0.000 0.000 0.000 1
In1 In 0.250 0.250 0.250 1
Re1 Re 0.000 0.000 0.500 1

---

5.
# KInRe2 PBE relaxed
# * formation enthalpy at 0 K: 1223 meV/atom
# * E_tot: -5.96 eV/atom
data_KInRe2
_symmetry_space_group_name_H-M 'P 4/m m m'
_symmetry_Int_Tables_number 123
_symmetry_space_group_name_Hall '-P 4 2'
_cell_length_a 2.769
_cell_length_b 2.769
_cell_length_c 10.339
_cell_angle_alpha 90.00
_cell_angle_beta 90.00
_cell_angle_gamma 90.00
loop_
_atom_site_label
_atom_site_type_symbol
_atom_site_fract_x
_atom_site_fract_y
_atom_site_fract_z
_atom_site_occupancy
K1 K 0.000 0.000 0.000 1
In1 In 0.000 0.000 0.500 1
Re1 Re 0.500 0.500 0.285 1

---

6.
# KIn2Re PBE relaxed
# * formation enthalpy at 0 K: 565 meV/atom
# * E_tot: -4.19 eV/atom
# * distance to the lowest polymorph of the same formula: 99 meV per atom
data_KIn2Re
_symmetry_space_group_name_H-M 'R -3 m'
_symmetry_Int_Tables_number 166
_symmetry_space_group_name_Hall '-R 3 2"'
_cell_length_a 3.1873
_cell_length_b 3.1873
_cell_length_c 31.4355
_cell_angle_alpha 90.00
_cell_angle_beta 90.00
_cell_angle_gamma 120.00
loop_
_atom_site_label
_atom_site_type_symbol
_atom_site_fract_x
_atom_site_fract_y
_atom_site_fract_z
_atom_site_occupancy
K1 K 0.0000 0.0000 0.0000 1
In1 In 0.0000 0.0000 0.2367 1
Re1 Re 0.0000 0.0000 0.5000 1

---

7.
# KInRe2 PBE relaxed
# * formation enthalpy at 0 K: 1048 meV/atom
# * E_tot: -6.14 eV/atom
data_KInRe2
_symmetry_space_group_name_H-M 'P m m m'
_symmetry_Int_Tables_number 47
_symmetry_space_group_name_Hall '-P 2 2'
_cell_length_a 2.813
_cell_length_b 4.714
_cell_length_c 7.174
_cell_angle_alpha 90.00
_cell_angle_beta 90.00
_cell_angle_gamma 90.00
loop_
_atom_site_label
_atom_site_type_symbol
_atom_site_fract_x
_atom_site_fract_y
_atom_site_fract_z
_atom_site_occupancy
K1 K 0.000 0.000 0.000 1
In1 In 0.000 0.000 0.500 1
Re1 Re 0.500 0.500 0.341 1

---

8.
# KIn2Re PBE relaxed
# * formation enthalpy at 0 K: 1081 meV/atom
# * E_tot: -3.67 eV/atom
# * distance to the lowest polymorph of the same formula: 616 meV per atom
data_KIn2Re
_symmetry_space_group_name_H-M 'I -4 m 2'
_symmetry_Int_Tables_number 119
_symmetry_space_group_name_Hall 'I -4 -2'
_cell_length_a 4.359
_cell_length_b 4.359
_cell_length_c 9.692
_cell_angle_alpha 90.00
_cell_angle_beta 90.00
_cell_angle_gamma 90.00
loop_
_atom_site_label
_atom_site_type_symbol
_atom_site_fract_x
_atom_site_fract_y
_atom_site_fract_z
_atom_site_occupancy
K1 K 0.000 0.000 0.000 1
In1 In 0.000 0.000 0.500 1
In2 In 0.000 0.500 0.250 1
Re1 Re 0.000 0.500 0.750 1

---

9.
# K2InRe PBE relaxed
# * formation enthalpy at 0 K: 1100 meV/atom
# * E_tot: -3.25 eV/atom
data_K2InRe
_symmetry_space_group_name_H-M 'P m m m'
_symmetry_Int_Tables_number 47
_symmetry_space_group_name_Hall '-P 2 2'
_cell_length_a 3.080
_cell_length_b 5.092
_cell_length_c 6.073
_cell_angle_alpha 90.00
_cell_angle_beta 90.00
_cell_angle_gamma 90.00
loop_
_atom_site_label
_atom_site_type_symbol
_atom_site_fract_x
_atom_site_fract_y
_atom_site_fract_z
_atom_site_occupancy
K1 K 0.000 0.000 0.000 1
K2 K 0.500 0.500 0.000 1
In1 In 0.000 0.500 0.500 1
Re1 Re 0.500 0.000 0.500 1

---

10.
# KIn2Re PBE relaxed
# * formation enthalpy at 0 K: 465 meV/atom
# * E_tot: -4.29 eV/atom
# * distance to the lowest polymorph of the same formula: 0 meV per atom
data_KIn2Re
_symmetry_space_group_name_H-M 'I m m 2'
_symmetry_Int_Tables_number 44
_symmetry_space_group_name_Hall 'I 2 -2'
_cell_length_a 2.941
_cell_length_b 4.710
_cell_length_c 16.350
_cell_angle_alpha 90.00
_cell_angle_beta 90.00
_cell_angle_gamma 90.00
loop_
_atom_site_label
_atom_site_type_symbol
_atom_site_fract_x
_atom_site_fract_y
_atom_site_fract_z
_atom_site_occupancy
K1 K 0.000 0.000 0.000 1
In1 In 0.000 0.000 0.344 1
In2 In 0.000 0.500 0.181 1
Re1 Re 0.000 0.500 0.698 1

---

11.
# KIn4Re PBE relaxed
# * formation enthalpy at 0 K: 757 meV/atom
# * E_tot: -3.33 eV/atom
data_KIn4Re
_symmetry_space_group_name_H-M 'F -4 3 m'
_symmetry_Int_Tables_number 216
_symmetry_space_group_name_Hall 'F -4 2 3'
_cell_length_a 8.270
_cell_length_b 8.270
_cell_length_c 8.270
_cell_angle_alpha 90.00
_cell_angle_beta 90.00
_cell_angle_gamma 90.00
loop_
_atom_site_label
_atom_site_type_symbol
_atom_site_fract_x
_atom_site_fract_y
_atom_site_fract_z
_atom_site_occupancy
K1 K 0.000 0.000 0.000 1
In1 In 0.124 0.124 0.376 1
Re1 Re 0.250 0.250 0.750 1

---

12.
# K2InRe PBE relaxed
# * formation enthalpy at 0 K: 1156 meV/atom
# * E_tot: -3.19 eV/atom
data_K2InRe
_symmetry_space_group_name_H-M 'I 4/m m m'
_symmetry_Int_Tables_number 139
_symmetry_space_group_name_Hall '-I 4 2'
_cell_length_a 4.265
_cell_length_b 4.265
_cell_length_c 11.625
_cell_angle_alpha 90.00
_cell_angle_beta 90.00
_cell_angle_gamma 90.00
loop_
_atom_site_label
_atom_site_type_symbol
_atom_site_fract_x
_atom_site_fract_y
_atom_site_fract_z
_atom_site_occupancy
K1 K 0.000 0.500 0.250 1
In1 In 0.000 0.000 0.000 1
Re1 Re 0.000 0.000 0.500 1

---

13.
# KIn2Re PBE relaxed
# * formation enthalpy at 0 K: 784 meV/atom
# * E_tot: -3.97 eV/atom
# * distance to the lowest polymorph of the same formula: 319 meV per atom
data_KIn2Re
_symmetry_space_group_name_H-M 'C m m 2'
_symmetry_Int_Tables_number 35
_symmetry_space_group_name_Hall 'C 2 -2'
_cell_length_a 3.627
_cell_length_b 4.761
_cell_length_c 10.763
_cell_angle_alpha 90.00
_cell_angle_beta 90.00
_cell_angle_gamma 90.00
loop_
_atom_site_label
_atom_site_type_symbol
_atom_site_fract_x
_atom_site_fract_y
_atom_site_fract_z
_atom_site_occupancy
K1 K 0.000 0.000 0.000 1
In1 In 0.000 0.000 0.544 1
In2 In 0.000 0.500 0.291 1
Re1 Re 0.000 0.500 0.743 1

---

14.
# KInRe2 PBE relaxed
# * formation enthalpy at 0 K: 510 meV/atom
# * E_tot: -6.67 eV/atom
data_KInRe2
_symmetry_space_group_name_H-M 'P 4 m m'
_symmetry_Int_Tables_number 99
_symmetry_space_group_name_Hall 'P 4 -2'
_cell_length_a 3.087
_cell_length_b 3.087
_cell_length_c 9.412
_cell_angle_alpha 90.00
_cell_angle_beta 90.00
_cell_angle_gamma 90.00
loop_
_atom_site_label
_atom_site_type_symbol
_atom_site_fract_x
_atom_site_fract_y
_atom_site_fract_z
_atom_site_occupancy
K1 K 0.000 0.000 0.000 1
In1 In 0.500 0.500 0.683 1
Re1 Re 0.000 0.000 0.452 1
Re2 Re 0.500 0.500 0.312 1

---

15.
# K4InRe PBE relaxed
# * formation enthalpy at 0 K: 1240 meV/atom
# * E_tot: -2.02 eV/atom
data_K4InRe
_symmetry_space_group_name_H-M 'F -4 3 m'
_symmetry_Int_Tables_number 216
_symmetry_space_group_name_Hall 'F -4 2 3'
_cell_length_a 9.798
_cell_length_b 9.798
_cell_length_c 9.798
_cell_angle_alpha 90.00
_cell_angle_beta 90.00
_cell_angle_gamma 90.00
loop_
_atom_site_label
_atom_site_type_symbol
_atom_site_fract_x
_atom_site_fract_y
_atom_site_fract_z
_atom_site_occupancy
K1 K 0.125 0.125 0.125 1
In1 In 0.000 0.000 0.500 1
Re1 Re 0.250 0.250 0.750 1

---

16.
# KIn2Re PBE relaxed
# * formation enthalpy at 0 K: 586 meV/atom
# * E_tot: -4.17 eV/atom
# * distance to the lowest polymorph of the same formula: 120 meV per atom
data_KIn2Re
_symmetry_space_group_name_H-M 'C 1 2/m 1'
_symmetry_Int_Tables_number 12
_symmetry_space_group_name_Hall '-C 2y'
_cell_length_a 9.187
_cell_length_b 2.920
_cell_length_c 7.560
_cell_angle_alpha 90.00
_cell_angle_beta 94.97
_cell_angle_gamma 90.00
loop_
_atom_site_label
_atom_site_type_symbol
_atom_site_fract_x
_atom_site_fract_y
_atom_site_fract_z
_atom_site_occupancy
K1 K 0.000 0.000 0.000 1
In1 In 0.236 0.000 0.682 1
Re1 Re 0.000 0.500 0.500 1

---

17.
# KIn2Re PBE relaxed
# * formation enthalpy at 0 K: 708 meV/atom
# * E_tot: -4.05 eV/atom
# * distance to the lowest polymorph of the same formula: 243 meV per atom
data_KIn2Re
_symmetry_space_group_name_H-M 'P 4 m m'
_symmetry_Int_Tables_number 99
_symmetry_space_group_name_Hall 'P 4 -2'
_cell_length_a 3.772
_cell_length_b 3.772
_cell_length_c 8.315
_cell_angle_alpha 90.00
_cell_angle_beta 90.00
_cell_angle_gamma 90.00
loop_
_atom_site_label
_atom_site_type_symbol
_atom_site_fract_x
_atom_site_fract_y
_atom_site_fract_z
_atom_site_occupancy
K1 K 0.000 0.000 0.000 1
In1 In 0.000 0.000 0.399 1
In2 In 0.500 0.500 0.667 1
Re1 Re 0.500 0.500 0.349 1

---

18.
# KInRe2 PBE relaxed
# * formation enthalpy at 0 K: 1088 meV/atom
# * E_tot: -6.10 eV/atom
data_KInRe2
_symmetry_space_group_name_H-M 'R -3 m'
_symmetry_Int_Tables_number 166
_symmetry_space_group_name_Hall '-R 3 2"'
_cell_length_a 2.8857
_cell_length_b 2.8857
_cell_length_c 32.1062
_cell_angle_alpha 90.00
_cell_angle_beta 90.00
_cell_angle_gamma 120.00
loop_
_atom_site_label
_atom_site_type_symbol
_atom_site_fract_x
_atom_site_fract_y
_atom_site_fract_z
_atom_site_occupancy
K1 K 0.0000 0.0000 0.0000 1
In1 In 0.0000 0.0000 0.5000 1
Re1 Re 0.0000 0.0000 0.2399 1

---

19.
# KInRe2 PBE relaxed
# * formation enthalpy at 0 K: 1302 meV/atom
# * E_tot: -5.88 eV/atom
data_KInRe2
_symmetry_space_group_name_H-M 'F -4 3 m'
_symmetry_Int_Tables_number 216
_symmetry_space_group_name_Hall 'F -4 2 3'
_cell_length_a 6.687
_cell_length_b 6.687
_cell_length_c 6.687
_cell_angle_alpha 90.00
_cell_angle_beta 90.00
_cell_angle_gamma 90.00
loop_
_atom_site_label
_atom_site_type_symbol
_atom_site_fract_x
_atom_site_fract_y
_atom_site_fract_z
_atom_site_occupancy
K1 K 0.000 0.000 0.000 1
In1 In 0.250 0.250 0.750 1
Re1 Re 0.000 0.000 0.500 1
Re2 Re 0.250 0.250 0.250 1

---

20.
# KInRe2 PBE relaxed
# * formation enthalpy at 0 K: 1429 meV/atom
# * E_tot: -5.75 eV/atom
data_KInRe2
_symmetry_space_group_name_H-M 'C m m m'
_symmetry_Int_Tables_number 65
_symmetry_space_group_name_Hall '-C 2 2'
_cell_length_a 5.679
_cell_length_b 10.267
_cell_length_c 2.664
_cell_angle_alpha 90.00
_cell_angle_beta 90.00
_cell_angle_gamma 90.00
loop_
_atom_site_label
_atom_site_type_symbol
_atom_site_fract_x
_atom_site_fract_y
_atom_site_fract_z
_atom_site_occupancy
K1 K 0.000 0.000 0.000 1
In1 In 0.000 0.500 0.000 1
Re1 Re 0.250 0.250 0.500 1